(1)
Below is crystalline InF at its relaxed geometry, with properties calculated at the PBE level.

```
InF
1.0
5.9599 0.0000 0.0000
0.0000 8.8941 0.0000
0.0000 0.0000 6.4446
In F
8 8
Cartesian
0.0146 0.7973 1.6058 In
0.0146 3.6498 4.8281 In
2.9654 5.2443 1.6058 In
2.9654 8.0968 4.8281 In
2.9946 0.7973 1.6165 In
2.9946 3.6498 4.8388 In
5.9453 5.2443 1.6165 In
5.9453 8.0968 4.8388 In
0.0051 1.4423 3.7831 F
0.0051 3.0048 0.5608 F
2.9749 5.8893 3.7831 F
2.9749 7.4518 0.5608 F
2.9850 1.4423 5.8838 F
2.9850 3.0048 2.6615 F
5.9549 5.8893 5.8838 F
5.9549 7.4518 2.6615 F
```

The calculation puts the raw total energy at -3.94 eV per atom. The symmetry is No. 61.

(2)
Below is crystalline Ce6Tc2Ni at its relaxed geometry, with properties calculated at the PBE level.

```
Ce6Tc2Ni
1.0
3.5129 0.0000 0.0000
0.0000 7.7590 3.7339
0.0000 -7.7590 3.7339
Ce Tc Ni
6 2 1
Cartesian
0.0000 0.0000 0.0000 Ce
0.0000 -2.0984 4.5822 Ce
0.0000 2.0984 4.5822 Ce
1.7564 -4.8810 3.5554 Ce
1.7564 0.0000 2.2524 Ce
1.7564 4.8810 3.5554 Ce
0.0000 -2.6109 2.2693 Tc
0.0000 2.6109 2.2693 Tc
1.7564 0.0000 5.2582 Ni
```

Its formation enthalpy at 0 K is -0.096 eV per atom. The symmetry is No. 38.

(3)
Below is crystalline Dy2ZnH at its relaxed geometry, with properties calculated at the PBE level.

```
Dy2ZnH
1.0
1.7442 1.0070 8.6733
-1.7442 1.0070 8.6733
0.0000 -2.0140 8.6733
Dy Zn H
2 1 1
Cartesian
0.0000 0.0000 2.9954 Dy
0.0000 0.0000 23.0244 Dy
0.0000 0.0000 0.0000 Zn
0.0000 0.0000 13.0099 H
```

The calculation puts the raw total energy at -3.38 eV per atom. The symmetry is No. 166.

no.,density of states at the Fermi level (states/eV/f.u.)
1,0.27
2,16.54
3,2.61